(1)
# Li3PdF6

A relaxed Li3PdF6 crystal (PBE, Alexandria via LeMat-Bulk).

Calculated values
The formation energy (no corrections) is -2172 kJ/mol of formula units. Its energy above the most stable polymorph in this dataset is 0.00 eV per formula unit.

Cell: 8.7234 8.7234 10.3941 Å, 90.00 90.00 120.00°
Space group R-3 (No. 148, hexagonal axes)
Asymmetric unit:
1 Li 0.0389 0.7757 0.2106 x18
2 Pd 0.0000 0.0000 0.0000 x3
3 Pd 0.0000 0.0000 0.5000 x3
4 F 0.0201 0.8099 0.3973 x18
5 F 0.0204 0.8321 0.8715 x18

***

(2)
# Li3PdF

A relaxed Li3PdF crystal (PBE, Alexandria via LeMat-Bulk).

Calculated values
The formation energy (no corrections) is -611 kJ/mol of formula units. Its energy above the most stable polymorph in this dataset is 0.00 eV per formula unit.

Cell: 3.971 3.971 3.971 Å, 90.00 90.00 90.00°
Space group Pm-3m (No. 221)
Asymmetric unit:
1 Li 0.000 0.000 0.500 x3
2 Pd 0.500 0.500 0.500 x1
3 F 0.000 0.000 0.000 x1

***

Computed values of density of states at the Fermi level (unit: states/eV/cell) for the preceding records, in sequence: 34.5; 0.1.